P:
12
Lattice="4.4460 -6.4456 0.0000 4.4460 6.4456 0.0000 -1.7359 0.0000 7.2967" Properties=species:S:1:pos:R:3 comment="GGA-PBE TlBi5Pb6, optimized geometry" sg="C2/m, No. 12" n_ef_per_ev_cell=6.85 pbc="T T T"
Tl 0.0000 0.0000 0.0000
Bi 3.5781 4.8261 3.6484
Bi 4.4460 2.6407 0.0000
Bi 3.5781 0.0000 3.6484
Bi 4.4460 -2.6407 0.0000
Bi 3.5781 -4.8261 3.6484
Pb 2.0193 2.3868 2.1505
Pb 1.3673 0.0000 5.9644
Pb 2.0193 -2.3868 2.1505
Pb 5.1369 2.3868 5.1462
Pb 5.7889 0.0000 1.3323
Pb 5.1369 -2.3868 5.1462

=====

Q:
12
Lattice="-2.1734 5.3651 8.1846 2.1734 -5.3651 8.1846 2.1734 5.3651 -8.1846" Properties=species:S:1:pos:R:3 comment="GGA-PBE TlBi5Pb6, optimized geometry" sg="Immm, No. 71" n_ef_per_ev_cell=6.64 pbc="T T T"
Tl 0.0000 0.0000 0.0000
Bi 2.1734 0.0000 2.8130
Bi 0.0000 0.0000 5.4604
Bi 0.0000 5.3651 0.0000
Bi 0.0000 0.0000 10.9088
Bi 0.0000 5.3651 5.3716
Pb 2.1734 -2.7232 5.4623
Pb 2.1734 2.6830 0.0000
Pb 0.0000 2.6420 2.7223
Pb 2.1734 2.7232 5.4623
Pb 0.0000 2.6822 8.1846
Pb 0.0000 8.0883 2.7223

=====

Energy above the most stable structure, in eV/atom: P 0.026; Q 0.000

=====

P:
14
Lattice="6.0532 0.0000 0.0000 0.0000 6.0532 0.0000 0.0000 0.0000 15.7068" Properties=species:S:1:pos:R:3 comment="GGA-PBE Tl2BiPb4, optimized geometry" sg="I4/mmm, No. 139" n_ef_per_ev_cell=9.00 pbc="T T T"
Tl 0.0000 0.0000 1.6308
Tl 0.0000 0.0000 14.0759
Tl 3.0266 3.0266 6.2225
Tl 3.0266 3.0266 9.4842
Bi 0.0000 0.0000 7.8534
Bi 3.0266 3.0266 0.0000
Pb 0.0000 0.0000 4.7137
Pb 0.0000 0.0000 10.9931
Pb 0.0000 3.0266 0.0000
Pb 0.0000 3.0266 7.8534
Pb 3.0266 0.0000 0.0000
Pb 3.0266 0.0000 7.8534
Pb 3.0266 3.0266 3.1397
Pb 3.0266 3.0266 12.5670

=====

Q:
14
Lattice="3.5042 0.0000 0.0000 0.0000 36.9301 0.0000 0.0000 0.0000 3.4695" Properties=species:S:1:pos:R:3 comment="GGA-PBE Tl2BiPb4, optimized geometry" sg="Cmmm, No. 65" n_ef_per_ev_cell=5.92 pbc="T T T"
Tl 0.0000 7.7052 0.0000
Tl 0.0000 29.2250 0.0000
Tl 1.7521 10.7599 0.0000
Tl 1.7521 26.1703 0.0000
Bi 0.0000 18.4651 1.7348
Bi 1.7521 0.0000 1.7348
Pb 0.0000 2.6297 0.0000
Pb 0.0000 13.3130 1.7348
Pb 0.0000 23.6171 1.7348
Pb 0.0000 34.3004 0.0000
Pb 1.7521 5.1521 1.7348
Pb 1.7521 15.8354 0.0000
Pb 1.7521 21.0948 0.0000
Pb 1.7521 31.7781 1.7348

=====

Energy above the most stable structure, in eV/atom: P 0.392; Q 0.000

=====

P:
14
Lattice="10.4741 0.0000 0.0000 0.0000 10.4741 0.0000 0.0000 0.0000 4.3556" Properties=species:S:1:pos:R:3 comment="GGA-PBE Tl4BiPb2, optimized geometry" sg="P4_2/mnm, No. 136" n_ef_per_ev_cell=7.02 pbc="T T T"
Tl 1.0076 3.5388 0.0000
Tl 1.6983 6.2447 2.1778
Tl 3.5388 1.0076 0.0000
Tl 4.2295 8.7758 2.1778
Tl 6.2447 1.6983 2.1778
Tl 6.9354 9.4665 0.0000
Tl 8.7758 4.2295 2.1778
Tl 9.4665 6.9354 0.0000
Bi 0.0000 0.0000 2.1778
Bi 5.2371 5.2371 0.0000
Pb 1.6634 8.8107 0.0000
Pb 3.5737 3.5737 2.1778
Pb 6.9005 6.9005 2.1778
Pb 8.8107 1.6634 0.0000

=====

Q:
14
Lattice="6.0340 0.0000 0.0000 0.0000 6.0340 0.0000 0.0000 0.0000 16.0550" Properties=species:S:1:pos:R:3 comment="GGA-PBE Tl4BiPb2, optimized geometry" sg="I4/mmm, No. 139" n_ef_per_ev_cell=11.05 pbc="T T T"
Tl 0.0000 0.0000 3.1888
Tl 0.0000 0.0000 12.8663
Tl 0.0000 3.0170 0.0000
Tl 0.0000 3.0170 8.0275
Tl 3.0170 0.0000 0.0000
Tl 3.0170 0.0000 8.0275
Tl 3.0170 3.0170 4.8388
Tl 3.0170 3.0170 11.2163
Bi 0.0000 0.0000 0.0000
Bi 3.0170 3.0170 8.0275
Pb 0.0000 0.0000 6.4352
Pb 0.0000 0.0000 9.6199
Pb 3.0170 3.0170 1.5924
Pb 3.0170 3.0170 14.4627

=====

Energy above the most stable structure, in eV/atom: P 0.000; Q 0.209

=====

P:
8
Lattice="9.3191 0.0000 0.0000 -4.6595 8.0706 0.0000 0.0000 0.0000 3.5128" Properties=species:S:1:pos:R:3 comment="GGA-PBE Tl3Bi2Pb3, optimized geometry" sg="P-62m, No. 189" n_ef_per_ev_cell=5.00 pbc="T T T"
Tl -1.1290 1.9555 0.0000
Tl 2.2580 0.0000 0.0000
Tl 3.5306 6.1151 0.0000
Bi 0.0000 5.3804 0.0000
Bi 4.6595 2.6902 0.0000
Pb -2.8917 5.0086 1.7564
Pb 1.7678 3.0619 1.7564
Pb 5.7835 0.0000 1.7564

=====

Q:
16
Lattice="2.8034 -5.9051 0.0000 2.8034 5.9051 0.0000 0.0000 0.0000 16.5038" Properties=species:S:1:pos:R:3 comment="GGA-PBE Tl3Bi2Pb3, optimized geometry" sg="Cmcm, No. 63" n_ef_per_ev_cell=6.44 pbc="T T T"
Tl 2.8034 5.1124 10.0058
Tl 2.8034 5.1124 14.7500
Tl 2.8034 2.5387 12.3779
Tl 2.8034 -2.5387 4.1260
Tl 2.8034 -5.1124 1.7539
Tl 2.8034 -5.1124 6.4980
Bi 2.8034 3.2605 1.9668
Bi 2.8034 3.2605 6.2851
Bi 2.8034 -3.2605 10.2187
Bi 2.8034 -3.2605 14.5370
Pb 2.8034 1.5004 8.9266
Pb 2.8034 1.5004 15.8291
Pb 2.8034 0.9206 4.1260
Pb 2.8034 -0.9206 12.3779
Pb 2.8034 -1.5004 0.6747
Pb 2.8034 -1.5004 7.5772

=====

Energy above the most stable structure, in eV/atom: P 0.011; Q 0.000

=====

P:
16
Lattice="21.0250 0.0000 0.0000 0.0000 4.9720 0.0000 -1.1627 0.0000 4.8144" Properties=species:S:1:pos:R:3 comment="GGA-PBE Tl4BiPb3, optimized geometry" sg="C2/m, No. 12" n_ef_per_ev_cell=9.23 pbc="T T T"
Tl 2.4964 0.0000 0.6080
Tl 4.9424 2.4860 1.1958
Tl 4.4074 0.0000 3.6186
Tl 6.8535 2.4860 4.2064
Tl 13.0089 2.4860 0.6080
Tl 15.4549 0.0000 1.1958
Tl 14.9200 2.4860 3.6186
Tl 17.3660 0.0000 4.2064
Bi -0.5813 0.0000 2.4072
Bi 9.9312 2.4860 2.4072
Pb 0.0000 2.4860 0.0000
Pb 1.8377 2.4860 2.9973
Pb 7.5122 0.0000 1.8171
Pb 10.5125 0.0000 0.0000
Pb 12.3502 0.0000 2.9973
Pb 18.0247 2.4860 1.8171

=====

Q:
16
Lattice="23.9906 0.0000 0.0000 0.0000 5.9687 0.0000 -0.5264 0.0000 3.5214" Properties=species:S:1:pos:R:3 comment="GGA-PBE Tl4BiPb3, optimized geometry" sg="C2/m, No. 12" n_ef_per_ev_cell=9.57 pbc="T T T"
Tl 2.9383 0.0000 0.4559
Tl 5.8190 2.9843 0.8699
Tl 5.6499 0.0000 2.6515
Tl 8.5307 2.9843 3.0655
Tl 14.9336 2.9843 0.4559
Tl 17.8144 0.0000 0.8699
Tl 17.6453 2.9843 2.6515
Tl 20.5260 0.0000 3.0655
Bi -0.2632 0.0000 1.7607
Bi 11.7321 2.9843 1.7607
Pb 0.0000 2.9843 0.0000
Pb 2.6245 2.9843 2.1935
Pb 8.8445 0.0000 1.3279
Pb 11.9953 0.0000 0.0000
Pb 14.6198 0.0000 2.1935
Pb 20.8398 2.9843 1.3279

=====

Energy above the most stable structure, in eV/atom: P 0.000; Q 0.034

=====

P:
12
Lattice="6.6230 -3.5076 0.0000 6.6230 3.5076 0.0000 -1.8422 0.0000 8.6497" Properties=species:S:1:pos:R:3 comment="GGA-PBE TlBi3Pb2, optimized geometry" sg="C2/c, No. 15" n_ef_per_ev_cell=7.29 pbc="T T T"
Tl 5.2413 2.6588 6.4873
Tl 6.1624 -2.6588 2.1624
Bi 1.2007 0.9023 5.0337
Bi 2.1218 -0.9023 0.7089
Bi 6.1624 0.9678 2.1624
Bi 5.2413 -0.9678 6.4873
Bi 9.2820 0.9023 7.9408
Bi 10.2031 -0.9023 3.6160
Pb 2.7450 0.8380 7.9134
Pb 3.6661 -0.8380 3.5885
Pb 7.7376 0.8380 5.0612
Pb 8.6587 -0.8380 0.7363

=====

Q:
12
Lattice="-5.6747 5.9315 3.1841 5.6747 -5.9315 3.1841 5.6747 5.9315 -3.1841" Properties=species:S:1:pos:R:3 comment="GGA-PBE TlBi3Pb2, optimized geometry" sg="Imma, No. 74" n_ef_per_ev_cell=7.30 pbc="T T T"
Tl 0.0000 2.9657 1.1193
Tl 5.6747 2.9657 2.0649
Bi 2.8373 2.9657 -1.5921
Bi 2.4349 0.0000 0.0000
Bi 2.8373 -2.9657 1.5921
Bi 8.9145 0.0000 0.0000
Bi 2.4349 5.9315 0.0000
Bi 3.2398 0.0000 3.1841
Pb 5.6747 -1.1844 1.1561
Pb 5.6747 4.7470 -1.1561
Pb 0.0000 1.1844 4.3402
Pb 0.0000 7.1159 2.0281

=====

Energy above the most stable structure, in eV/atom: P 0.000; Q 0.032

=====

P:
18
Lattice="3.4167 -8.1533 0.0000 3.4167 8.1533 0.0000 0.0000 0.0000 11.1744" Properties=species:S:1:pos:R:3 comment="GGA-PBE Tl2Bi4Pb3, optimized geometry" sg="Cmce, No. 64" n_ef_per_ev_cell=6.98 pbc="T T T"
Tl 3.4167 6.5334 10.7642
Tl 3.4167 1.6199 5.1770
Tl 3.4167 -1.6199 5.9975
Tl 3.4167 -6.5334 0.4102
Bi 3.4167 4.8464 5.7471
Bi 1.7084 0.5603 8.3808
Bi 1.7084 -0.5603 2.7936
Bi 3.4167 3.3070 0.1599
Bi 3.4167 -3.3070 11.0145
Bi 5.1251 0.5603 8.3808
Bi 5.1251 -0.5603 2.7936
Bi 3.4167 -4.8464 5.4273
Pb 0.0000 0.0000 5.5872
Pb 1.7084 3.7556 8.3808
Pb 1.7084 -3.7556 2.7936
Pb 3.4167 0.0000 0.0000
Pb 5.1251 3.7556 8.3808
Pb 5.1251 -3.7556 2.7936

=====

Q:
9
Lattice="4.4999 0.0000 0.0000 2.2319 5.9620 0.0000 2.2100 2.3244 10.8614" Properties=species:S:1:pos:R:3 comment="GGA-PBE Tl2Bi4Pb3, optimized geometry" sg="P-1, No. 2" n_ef_per_ev_cell=3.60 pbc="T T T"
Tl 2.2340 3.0453 2.9426
Tl 6.7078 5.2410 7.9188
Bi 2.2238 1.6618 6.5481
Bi 4.4632 5.5933 1.8989
Bi 4.4786 2.6930 8.9625
Bi 6.7180 6.6245 4.3133
Pb 4.4529 6.6562 10.4252
Pb 4.4709 4.1432 5.4307
Pb 4.4889 1.6301 0.4362

=====

Energy above the most stable structure, in eV/atom: P 0.029; Q 0.000

=====

P:
16
Lattice="7.9720 0.0000 0.0000 0.0000 7.9720 0.0000 0.0000 0.0000 7.9720" Properties=species:S:1:pos:R:3 comment="GGA-PBE Tl2BiPb, optimized geometry" sg="Fm-3m, No. 225" n_ef_per_ev_cell=9.01 pbc="T T T"
Tl 1.9930 1.9930 1.9930
Tl 1.9930 1.9930 5.9790
Tl 1.9930 5.9790 1.9930
Tl 1.9930 5.9790 5.9790
Tl 5.9790 1.9930 1.9930
Tl 5.9790 1.9930 5.9790
Tl 5.9790 5.9790 1.9930
Tl 5.9790 5.9790 5.9790
Bi 0.0000 0.0000 0.0000
Bi 0.0000 3.9860 3.9860
Bi 3.9860 0.0000 3.9860
Bi 3.9860 3.9860 0.0000
Pb 0.0000 0.0000 3.9860
Pb 0.0000 3.9860 0.0000
Pb 3.9860 0.0000 0.0000
Pb 3.9860 3.9860 3.9860

=====

Q:
16
Lattice="8.0110 0.0000 0.0000 0.0000 8.0110 0.0000 0.0000 0.0000 8.0110" Properties=species:S:1:pos:R:3 comment="GGA-PBE Tl2BiPb, optimized geometry" sg="F-43m, No. 216" n_ef_per_ev_cell=7.08 pbc="T T T"
Tl 0.0000 0.0000 0.0000
Tl 0.0000 4.0055 4.0055
Tl 2.0028 2.0028 2.0028
Tl 2.0028 6.0083 6.0083
Tl 4.0055 0.0000 4.0055
Tl 4.0055 4.0055 0.0000
Tl 6.0083 2.0028 6.0083
Tl 6.0083 6.0083 2.0028
Bi 2.0028 2.0028 6.0083
Bi 2.0028 6.0083 2.0028
Bi 6.0083 2.0028 2.0028
Bi 6.0083 6.0083 6.0083
Pb 0.0000 0.0000 4.0055
Pb 0.0000 4.0055 0.0000
Pb 4.0055 0.0000 0.0000
Pb 4.0055 4.0055 4.0055

=====

R:
4
Lattice="3.5465 0.0000 0.0000 0.0000 3.5465 0.0000 0.0000 0.0000 9.9832" Properties=species:S:1:pos:R:3 comment="GGA-PBE Tl2BiPb, optimized geometry" sg="P4/mmm, No. 123" n_ef_per_ev_cell=1.01 pbc="T T T"
Tl 0.0000 0.0000 2.4858
Tl 0.0000 0.0000 7.4974
Bi 1.7732 1.7732 0.0000
Pb 1.7732 1.7732 4.9916

=====

S:
4
Lattice="3.7971 0.0000 0.0000 0.0000 4.4316 0.0000 0.0000 0.0000 7.6640" Properties=species:S:1:pos:R:3 comment="GGA-PBE Tl2BiPb, optimized geometry" sg="Pmm2, No. 25" n_ef_per_ev_cell=1.24 pbc="T T T"
Tl 0.0000 0.0000 0.0000
Tl 1.8986 2.2158 2.0441
Bi 1.8986 2.2158 5.7091
Pb 0.0000 0.0000 4.0169

=====

Energy above the most stable structure, in eV/atom: P 0.069; Q 0.010; R 0.020; S 0.000

=====

P:
8
Lattice="7.0205 0.0000 0.0000 0.0000 5.1383 0.0000 -2.2132 0.0000 7.1862" Properties=species:S:1:pos:R:3 comment="GGA-PBE Tl2BiPb, optimized geometry" sg="P2_1/m, No. 11" n_ef_per_ev_cell=3.06 pbc="T T T"
Tl -0.3057 1.2846 2.5145
Tl 1.5725 3.8537 4.4828
Tl 3.2348 1.2846 2.7034
Tl 5.1130 3.8537 4.6717
Bi 1.4916 3.8537 0.9664
Bi 3.3157 1.2846 6.2198
Pb -0.0353 1.2846 6.2216
Pb 4.8426 3.8537 0.9646

=====

Q:
16
Lattice="7.1676 0.0000 0.0000 0.0000 7.1676 0.0000 0.0000 0.0000 13.2896" Properties=species:S:1:pos:R:3 comment="GGA-PBE Tl2BiPb, optimized geometry" sg="I-42d, No. 122" n_ef_per_ev_cell=7.58 pbc="T T T"
Tl 1.7874 1.7919 1.6612
Tl 1.7919 5.3712 4.9836
Tl 1.7919 5.3802 11.6284
Tl 1.7964 1.7919 8.3060
Tl 5.3712 5.3757 8.3060
Tl 5.3757 1.7874 11.6284
Tl 5.3757 1.7964 4.9836
Tl 5.3802 5.3757 1.6612
Bi 0.0000 0.0000 0.0000
Bi 0.0000 3.5838 3.3224
Bi 3.5838 0.0000 9.9672
Bi 3.5838 3.5838 6.6448
Pb 0.0000 0.0000 6.6448
Pb 0.0000 3.5838 9.9672
Pb 3.5838 0.0000 3.3224
Pb 3.5838 3.5838 0.0000

=====

Energy above the most stable structure, in eV/atom: P 0.000; Q 0.279

=====

P:
16
Lattice="7.0519 0.0000 0.0000 0.0000 7.1846 0.0000 0.0000 0.0000 9.9485" Properties=species:S:1:pos:R:3 comment="GGA-PBE Tl3BiPb4, optimized geometry" sg="Pmna, No. 53" n_ef_per_ev_cell=10.09 pbc="T T T"
Tl 0.0000 0.0000 0.0000
Tl 1.7630 1.7619 2.4871
Tl 1.7630 5.4227 7.4614
Tl 3.5260 0.0000 4.9742
Tl 5.2889 1.7619 2.4871
Tl 5.2889 5.4227 7.4614
Bi 0.0000 3.5923 0.0000
Bi 3.5260 3.5923 4.9742
Pb 0.0000 0.0000 4.9742
Pb 0.0000 3.5923 4.9742
Pb 1.7630 1.8741 7.4614
Pb 1.7630 5.3105 2.4871
Pb 3.5260 0.0000 0.0000
Pb 3.5260 3.5923 0.0000
Pb 5.2889 1.8741 7.4614
Pb 5.2889 5.3105 2.4871

=====

Q:
16
Lattice="6.7083 0.0000 0.0000 0.0000 11.3518 0.0000 0.0000 0.0000 6.7543" Properties=species:S:1:pos:R:3 comment="GGA-PBE Tl3BiPb4, optimized geometry" sg="Imm2, No. 44" n_ef_per_ev_cell=9.34 pbc="T T T"
Tl 0.0000 0.0000 0.0000
Tl 0.0000 2.7422 4.9604
Tl 0.0000 8.6096 4.9604
Tl 3.3541 2.9337 1.5833
Tl 3.3541 5.6759 3.3772
Tl 3.3541 8.4181 1.5833
Bi 0.0000 5.6759 3.4810
Bi 3.3541 0.0000 0.1038
Pb 0.0000 3.0657 1.5544
Pb 0.0000 8.2861 1.5544
Pb 1.6647 5.6759 6.5907
Pb 1.6894 0.0000 3.2135
Pb 3.3541 2.6102 4.9315
Pb 3.3541 8.7416 4.9315
Pb 5.0188 0.0000 3.2135
Pb 5.0436 5.6759 6.5907

=====

Energy above the most stable structure, in eV/atom: P 0.000; Q 0.060